# 1
{"formula": "KCuPbSe2S", "functional": "PBE", "state": "relaxed", "e_tot_ev_per_atom": -3.748, "space_group": "No. 63", "lattice_angstrom": [[-1.199, 5.145, 4.160], [-2.861, -5.132, -3.270], [1.920, -6.711, 8.853]], "species": ["S", "S", "Cu", "Se", "Cu", "Pb", "K", "K", "Pb", "Se", "Se", "Se"], "frac_coords": [[0.013, 0.987, 0.250], [0.987, 0.013, 0.750], [0.429, 0.571, 0.250], [0.344, 0.656, 0.050], [0.571, 0.429, 0.750], [0.000, 0.000, 0.500], [0.715, 0.285, 0.250], [0.285, 0.715, 0.750], [0.000, 0.000, 0.000], [0.656, 0.344, 0.950], [0.656, 0.344, 0.550], [0.344, 0.656, 0.450]]}

---

# 2
{"formula": "Dy3Tm3Te2Os", "functional": "PBE", "state": "relaxed", "polymorph_energy_mev_per_atom": 0, "space_group": "No. 38", "lattice_angstrom": [[4.043, 0.000, 0.000], [0.000, 7.090, 4.137], [0.000, -7.090, 4.137]], "species": ["Tm", "Tm", "Te", "Os", "Dy", "Te", "Tm", "Dy", "Dy"], "frac_coords": [[0.500, 0.998, 0.762], [0.500, 0.240, 0.240], [0.500, 0.666, 0.333], [0.000, 0.006, 0.006], [0.000, 0.609, 0.609], [0.500, 0.333, 0.666], [0.500, 0.762, 0.998], [0.000, 0.000, 0.387], [0.000, 0.387, 0.000]]}

---

# 3
{"formula": "KPIrSe5", "functional": "PBE", "state": "relaxed", "e_tot_ev_per_atom": -4.500, "space_group": "No. 12", "lattice_angstrom": [[9.336, -3.785, 0.000], [9.336, 3.785, 0.000], [-0.752, 0.000, 6.726]], "species": ["Ir", "Se", "K", "Se", "K", "Se", "Se", "Se", "Se", "P", "Se", "Se", "Se", "P", "Se", "Ir"], "frac_coords": [[0.257, 0.743, 0.000], [0.330, 0.840, 0.318], [0.269, 0.269, 0.765], [0.840, 0.330, 0.318], [0.731, 0.731, 0.235], [0.439, 0.439, 0.149], [0.670, 0.160, 0.682], [0.079, 0.079, 0.890], [0.747, 0.747, 0.744], [0.864, 0.864, 0.789], [0.253, 0.253, 0.256], [0.160, 0.670, 0.682], [0.561, 0.561, 0.851], [0.136, 0.136, 0.211], [0.921, 0.921, 0.110], [0.743, 0.257, 0.000]]}

---

# 4
{"formula": "Zn3Au", "functional": "PBE", "state": "relaxed", "e_form_kj_per_mol_fu": -63, "space_group": "No. 223", "lattice_angstrom": [[7.940, 0.000, 0.000], [0.000, 7.940, 0.000], [0.000, 0.000, 7.940]], "species": ["Zn", "Zn", "Zn", "Zn", "Au", "Au", "Zn", "Zn", "Zn", "Zn", "Zn", "Au", "Au", "Zn", "Zn", "Zn", "Zn", "Zn", "Zn", "Zn", "Zn", "Zn", "Au", "Au", "Zn", "Zn", "Zn", "Zn", "Au", "Au", "Zn", "Zn"], "frac_coords": [[0.800, 0.664, 0.500], [0.000, 0.164, 0.300], [0.336, 0.500, 0.800], [0.200, 0.664, 0.500], [0.500, 0.750, 0.000], [0.000, 0.500, 0.750], [0.336, 0.500, 0.200], [0.836, 0.300, 0.000], [0.164, 0.700, 0.000], [0.500, 0.200, 0.336], [0.500, 0.200, 0.664], [0.000, 0.000, 0.000], [0.250, 0.000, 0.500], [0.000, 0.164, 0.700], [0.200, 0.336, 0.500], [0.164, 0.300, 0.000], [0.800, 0.336, 0.500], [0.836, 0.700, 0.000], [0.300, 0.000, 0.164], [0.300, 0.000, 0.836], [0.700, 0.000, 0.836], [0.664, 0.500, 0.200], [0.500, 0.250, 0.000], [0.000, 0.500, 0.250], [0.000, 0.836, 0.700], [0.664, 0.500, 0.800], [0.000, 0.836, 0.300], [0.500, 0.800, 0.336], [0.500, 0.500, 0.500], [0.750, 0.000, 0.500], [0.500, 0.800, 0.664], [0.700, 0.000, 0.164]]}

---

# 5
{"formula": "SmAsPbO", "functional": "PBE", "state": "relaxed", "polymorph_energy_mev_per_atom": 0, "space_group": "No. 129", "lattice_angstrom": [[4.349, 0.000, 0.000], [0.000, 4.349, 0.000], [0.000, 0.000, 9.612]], "species": ["O", "Sm", "Pb", "Sm", "As", "O", "As", "Pb"], "frac_coords": [[0.750, 0.250, 0.000], [0.750, 0.750, 0.901], [0.750, 0.250, 0.500], [0.250, 0.250, 0.099], [0.750, 0.750, 0.271], [0.250, 0.750, 0.000], [0.250, 0.250, 0.729], [0.250, 0.750, 0.500]]}

---

# 6
{"formula": "LiZrCuSe3", "functional": "PBE", "state": "relaxed", "polymorph_energy_mev_per_atom": 62, "space_group": "No. 62", "lattice_angstrom": [[-0.635, 0.526, 3.730], [10.736, -1.975, 2.106], [2.308, 11.268, -1.196]], "species": ["Zr", "Se", "Zr", "Se", "Se", "Cu", "Se", "Se", "Se", "Se", "Cu", "Se", "Se", "Li", "Se", "Li", "Cu", "Zr", "Li", "Se", "Zr", "Se", "Cu", "Li"], "frac_coords": [[0.750, 0.822, 0.557], [0.750, 0.652, 0.279], [0.750, 0.678, 0.057], [0.250, 0.579, 0.914], [0.250, 0.856, 0.054], [0.750, 0.286, 0.251], [0.250, 0.921, 0.414], [0.250, 0.644, 0.554], [0.750, 0.848, 0.779], [0.750, 0.144, 0.946], [0.750, 0.214, 0.751], [0.750, 0.079, 0.586], [0.750, 0.421, 0.086], [0.250, 0.488, 0.329], [0.750, 0.356, 0.446], [0.250, 0.012, 0.829], [0.250, 0.786, 0.249], [0.250, 0.322, 0.943], [0.750, 0.512, 0.671], [0.250, 0.348, 0.721], [0.250, 0.178, 0.443], [0.250, 0.152, 0.221], [0.250, 0.714, 0.749], [0.750, 0.988, 0.171]]}

---

# 7
{"formula": "BeZn2Ag", "functional": "PBE", "state": "relaxed", "e_tot_ev_per_atom": -2.128, "space_group": "No. 216", "lattice_angstrom": [[-3.894, -1.447, -0.935], [-3.083, 2.731, -1.079], [-1.415, 0.136, -4.014]], "species": ["Zn", "Ag", "Be", "Zn"], "frac_coords": [[0.750, 0.750, 0.750], [0.250, 0.250, 0.250], [0.500, 0.500, 0.500], [0.000, 0.000, 0.000]]}

---

# 8
{"formula": "LiPmNO", "functional": "PBE", "state": "relaxed", "polymorph_energy_mev_per_atom": 167, "space_group": "No. 129", "lattice_angstrom": [[-4.603, -0.988, 1.326], [1.641, -2.243, 4.024], [-0.191, 3.944, 2.276]], "species": ["O", "Li", "O", "Pm", "N", "N", "Pm", "Li"], "frac_coords": [[0.500, 0.500, 0.000], [0.000, 0.500, 0.000], [0.000, 0.000, 0.000], [0.500, 0.500, 0.500], [0.500, 0.000, 0.498], [0.000, 0.500, 0.502], [0.000, 0.000, 0.500], [0.500, 0.000, 0.000]]}